No. 1
This record from Alexandria describes crystalline Ti6SnPd5 at its relaxed geometry. The functional is PBE-GGA.

Geometry as CIF:
```
data_Ti6SnPd5
_chemical_formula_sum 'Ti6 Sn1 Pd5'
_space_group_name_H-M_alt 'P 1'
_space_group_IT_number 1
_cell_length_a 6.357
_cell_length_b 6.357
_cell_length_c 8.031
_cell_angle_alpha 90.00
_cell_angle_beta 90.00
_cell_angle_gamma 143.38
loop_
_space_group_symop_operation_xyz
'x,y,z'
loop_
_atom_site_label
_atom_site_type_symbol
_atom_site_fract_x
_atom_site_fract_y
_atom_site_fract_z
Ti1 Ti 0.000 0.000 0.235
Ti2 Ti 0.000 0.000 0.765
Ti3 Ti 0.330 0.670 0.244
Ti4 Ti 0.330 0.670 0.756
Ti5 Ti 0.670 0.330 0.244
Ti6 Ti 0.670 0.330 0.756
Sn1 Sn 0.500 0.500 0.500
Pd1 Pd 0.167 0.833 0.000
Pd2 Pd 0.168 0.832 0.500
Pd3 Pd 0.500 0.500 0.000
Pd4 Pd 0.832 0.168 0.500
Pd5 Pd 0.833 0.167 0.000
```

Calculated values
Calculated formation energy = -5.831 eV/f.u.
SG = Cmmm, No. 65
Size of the total moment = 0.39 Bohr magnetons per cell

***

No. 2
This record from Alexandria describes crystalline Ti2SnPd2 at its relaxed geometry. The functional is PBE-GGA.

Geometry as CIF:
```
data_Ti2SnPd2
_chemical_formula_sum 'Ti2 Sn1 Pd2'
_space_group_name_H-M_alt 'P 1'
_space_group_IT_number 1
_cell_length_a 4.506
_cell_length_b 4.506
_cell_length_c 5.451
_cell_angle_alpha 114.33
_cell_angle_beta 114.33
_cell_angle_gamma 60.05
loop_
_space_group_symop_operation_xyz
'x,y,z'
loop_
_atom_site_label
_atom_site_type_symbol
_atom_site_fract_x
_atom_site_fract_y
_atom_site_fract_z
Ti1 Ti 0.208 0.208 0.121
Ti2 Ti 0.792 0.792 0.879
Sn1 Sn 0.000 0.000 0.500
Pd1 Pd 0.405 0.405 0.716
Pd2 Pd 0.595 0.595 0.284
```

Calculated values
Calculated formation energy = -2.601 eV/f.u.
SG = C2/m, No. 12
Size of the total moment = 1.82 Bohr magnetons per cell